# 1
## Nd7Sm2Th2 (PBE)

Data for crystalline Nd7Sm2Th2 at its relaxed geometry. Values from VASP.

Results
Calculated total energy   -5.0651 eV per atom
Calculated density   7.7 g/cm3
Energy above the lowest structure with this stoichiometry   0.0 meV per atom
ΔE_f   0.18 eV/atom
Density of states at the Fermi level   1.56 states/eV per atom

```
&SYSTEM
  ibrav = 0, nat = 11, ntyp = 3
/
ATOMIC_SPECIES
Nd 144.24 Nd.upf
Sm 150.36 Sm.upf
Th 232.04 Th.upf
ATOMIC_POSITIONS angstrom
Nd -3.055 -3.704 1.991
Nd -6.735 -8.902 -0.120
Nd -3.106 -9.503 -4.966
Nd 0.574 -4.305 -2.856
Nd 0.000 0.000 0.000
Nd -3.832 -9.712 -1.665
Nd -2.329 -3.495 -1.310
Sm -5.020 -6.282 1.103
Sm -1.140 -6.925 -4.079
Th -4.450 -6.291 -2.552
Th -1.711 -6.916 -0.423
CELL_PARAMETERS angstrom
-4.844 -1.937 -3.387
2.832 -6.213 -4.456
-4.149 -5.057 4.868
```

# 2
## Nd8Sm2Th3 (PBE)

Data for crystalline Nd8Sm2Th3 at its relaxed geometry. Values from VASP.

Results
Calculated total energy   -5.1368 eV per atom
Calculated density   7.8 g/cm3
ΔE_f   0.24 eV/atom
Density of states at the Fermi level   1.56 states/eV per atom

```
&SYSTEM
  ibrav = 0, nat = 13, ntyp = 3
/
ATOMIC_SPECIES
Nd 144.24 Nd.upf
Sm 150.36 Sm.upf
Th 232.04 Th.upf
ATOMIC_POSITIONS angstrom
Nd 1.926 -5.191 1.789
Nd -5.463 -1.140 0.110
Nd 0.668 0.253 2.761
Nd -4.204 -6.584 -0.862
Nd -1.143 -2.845 3.463
Nd -2.245 2.411 3.248
Nd -1.292 -8.742 -1.348
Nd -2.393 -3.486 -1.564
Sm -2.124 -0.427 0.429
Sm -1.413 -5.903 1.471
Th -4.386 -1.031 -2.728
Th 0.539 -2.575 0.106
Th 1.732 -8.267 0.340
CELL_PARAMETERS angstrom
-8.773 -2.062 -5.457
2.271 -10.842 0.445
2.965 6.573 6.911
```

# 3
## Nd8SmTh4 (PBE)

Data for crystalline Nd8SmTh4 at its relaxed geometry. Values from VASP.

Results
Calculated total energy   -5.0272 eV per atom
Calculated density   7.4 g/cm3
ΔE_f   0.55 eV/atom
Density of states at the Fermi level   1.64 states/eV per atom

```
&SYSTEM
  ibrav = 0, nat = 13, ntyp = 3
/
ATOMIC_SPECIES
Nd 144.24 Nd.upf
Sm 150.36 Sm.upf
Th 232.04 Th.upf
ATOMIC_POSITIONS angstrom
Nd -1.434 -4.667 -4.621
Nd -1.374 -2.183 1.768
Nd -3.084 -0.343 -1.243
Nd 3.547 -4.865 2.957
Nd 0.276 -6.506 -1.610
Nd 5.476 -9.025 -0.679
Nd -8.284 2.176 -2.173
Nd -6.355 -1.985 -5.810
Sm 3.675 -5.885 -0.517
Th 0.000 0.000 0.000
Th 1.884 -4.063 -3.552
Th -3.195 -1.603 -4.460
Th -5.079 2.460 -0.909
CELL_PARAMETERS angstrom
-10.157 4.920 -1.818
3.768 -8.126 -7.103
3.582 -3.643 6.068
```

# 4
## Nd3Sm3Th2 (PBE)

Data for crystalline Nd3Sm3Th2 at its relaxed geometry. Values from VASP.

Results
Calculated total energy   -5.3754 eV per atom
Calculated density   8.2 g/cm3
Energy above the lowest structure with this stoichiometry   0.0 meV per atom
ΔE_f   0.04 eV/atom
Density of states at the Fermi level   1.31 states/eV per atom

```
&SYSTEM
  ibrav = 0, nat = 8, ntyp = 3
/
ATOMIC_SPECIES
Nd 144.24 Nd.upf
Sm 150.36 Sm.upf
Th 232.04 Th.upf
ATOMIC_POSITIONS angstrom
Nd 2.555 2.558 2.696
Nd 0.000 0.001 7.726
Nd 2.555 0.000 0.000
Sm 0.000 0.002 2.694
Sm 0.000 2.556 0.001
Sm 2.555 2.558 7.728
Th 2.555 0.002 5.208
Th 0.000 2.558 5.214
CELL_PARAMETERS angstrom
5.111 0.000 0.000
0.000 5.113 0.001
-2.555 -2.554 10.420
```